DFT (meta-GGA SCAN) results for LaCu2AsN at its PBEsol-relaxed geometry.

The structure in POSCAR format:
```
LaCu2AsN
1.0
-3.019 2.465 -0.643
-2.851 -3.953 -1.772
-1.750 -0.891 4.800
Cu As N La
2 1 1 1
direct
0.000 0.500 0.000
0.000 0.000 0.500
0.500 0.500 0.500
0.500 0.000 0.000
0.000 0.000 0.000
```

Computed properties:
Raw total energy   -97.2 eV/cell
Formation energy without anion corrections   5.8 eV/f.u.


DFT (meta-GGA SCAN) results for LaInPb2 at its PBEsol-relaxed geometry.

The structure in POSCAR format:
```
LaInPb2
1.0
-1.419 0.501 4.418
-0.537 -4.623 0.351
5.823 1.620 -0.779
In La Pb
1 1 2
direct
0.500 0.500 0.000
0.250 0.750 0.500
0.750 0.250 0.500
0.000 0.000 0.000
```

Computed properties:
Raw total energy   -230.2 eV/cell
Formation enthalpy at 0 K   -206 kJ/mol of formula units